1.
First-principles (PBE) data for a relaxed structure of Dy8AsSe6, as listed in Alexandria.

Lattice parameters (Å, degrees): 4.1003 10.3285 10.3285 120.00 90.00 90.00
Closest atoms and distances in Å follow each position.
Positions (direct):
Se  0.7534  0.4792  0.3503  5 Dy 2.78-2.89
Se  0.7534  0.8711  0.5208  5 Dy 2.78-2.89
Se  0.7534  0.6497  0.1289  5 Dy 2.78-2.89
Se  0.2466  0.5208  0.6497  5 Dy 2.78-2.89
Se  0.2466  0.1289  0.4792  5 Dy 2.78-2.89
Se  0.2466  0.3503  0.8711  5 Dy 2.78-2.89
Dy  0.2595  0.2775  0.3080  3 Se 2.78-2.86
Dy  0.2595  0.0305  0.7225  3 Se 2.78-2.86
Dy  0.2595  0.6920  0.9695  3 Se 2.78-2.86
Dy  0.7405  0.7225  0.6920  3 Se 2.78-2.86
Dy  0.7405  0.9695  0.2775  3 Se 2.78-2.86
Dy  0.7462  0.3333  0.6667  6 Se 2.88-2.89
Dy  0.7405  0.3080  0.0305  3 Se 2.78-2.86
Dy  0.2538  0.6667  0.3333  6 Se 2.88-2.89
As  0.5000  0.0000  0.0000  6 Dy 3.19

Properties
M_tot   0.000 Bohr magnetons per cell

2.
First-principles (PBE) data for a relaxed structure of Dy3AsSe2, as listed in Alexandria.

Lattice parameters (Å, degrees): 4.0816 5.7693 7.1125 113.93 106.67 90.00
Closest atoms and distances in Å follow each position.
Positions (direct):
Dy  0.5000  0.0000  0.5000  2 As 2.88, 4 Se 2.91
Dy  0.8407  0.3407  0.1814  2 As 2.83, 4 Se 2.89-2.95
Dy  0.1593  0.6593  0.8186  2 As 2.83, 4 Se 2.89-2.95
Se  0.8315  0.8315  0.1629  6 Dy 2.89-2.95
Se  0.1685  0.1685  0.8371  6 Dy 2.89-2.95
As  0.5000  0.5000  0.5000  6 Dy 2.83-2.88

Properties
M_tot   0.000 Bohr magnetons per cell

3.
First-principles (PBE) data for a relaxed structure of Dy3As5Se12, as listed in Alexandria.

Lattice parameters (Å, degrees): 14.1121 14.1121 14.1121 109.47 109.47 109.47
Closest atoms and distances in Å follow each position.
Positions (direct):
As  0.5000  0.5000  0.0000  6 Se 2.70
As  0.1250  0.7500  0.3750  4 Se 2.57
As  0.6250  0.7500  0.8750  4 Se 2.57
As  0.2500  0.3750  0.6250  4 Se 2.57
As  0.2500  0.8750  0.1250  4 Se 2.57
As  0.5000  0.0000  0.0000  6 Se 2.70
As  0.5000  0.5000  0.5000  6 Se 2.70
As  0.1250  0.3750  0.2500  4 Se 2.57
As  0.5000  0.0000  0.5000  6 Se 2.70
As  0.0000  0.0000  0.5000  6 Se 2.70
As  0.0000  0.5000  0.0000  6 Se 2.70
As  0.0000  0.5000  0.5000  6 Se 2.70
As  0.8750  0.2500  0.6250  4 Se 2.57
As  0.7500  0.6250  0.3750  4 Se 2.57
As  0.0000  0.0000  0.0000  6 Se 2.70
As  0.6250  0.8750  0.2500  4 Se 2.57
As  0.3750  0.2500  0.1250  4 Se 2.57
As  0.7500  0.1250  0.8750  4 Se 2.57
As  0.3750  0.1250  0.7500  4 Se 2.57
As  0.8750  0.6250  0.7500  4 Se 2.57
Se  0.5879  0.6327  0.4169  2 As 2.57-2.70
Se  0.2843  0.4169  0.8291  2 As 2.57-2.70
Se  0.4552  0.7843  0.8673  2 As 2.57-2.70
Se  0.6327  0.0448  0.2157  2 As 2.57-2.70
Se  0.8673  0.5831  0.9121  2 As 2.57-2.70
Se  0.9169  0.0879  0.6327  2 As 2.57-2.70
Se  0.0448  0.4121  0.8291  2 As 2.57-2.70
Se  0.4121  0.0448  0.3291  2 As 2.57-2.70
Se  0.5879  0.9552  0.6709  2 As 2.57-2.70
Se  0.3673  0.9552  0.7843  2 As 2.57-2.70
Se  0.3291  0.5448  0.4121  2 As 2.57-2.70
Se  0.4121  0.3673  0.5831  2 As 2.57-2.70
Se  0.0831  0.1709  0.2157  2 As 2.57-2.70
Se  0.5448  0.2157  0.1327  2 As 2.57-2.70
Se  0.3673  0.4121  0.0831  2 As 2.57-2.70
Se  0.1327  0.7157  0.5448  2 As 2.57-2.70
Se  0.9552  0.3673  0.2843  2 As 2.57-2.70
Se  0.4169  0.2843  0.3291  2 As 2.57-2.70
Se  0.2157  0.6709  0.0831  2 As 2.57-2.70
Se  0.0448  0.6327  0.7157  2 As 2.57-2.70
Se  0.5831  0.7157  0.6709  2 As 2.57-2.70
Se  0.6709  0.4552  0.5879  2 As 2.57-2.70
Se  0.9121  0.8291  0.5448  2 As 2.57-2.70
Se  0.0831  0.9121  0.3673  2 As 2.57-2.70
Se  0.8291  0.9169  0.2843  2 As 2.57-2.70
Se  0.0879  0.9169  0.1327  2 As 2.57-2.70
Se  0.2843  0.8673  0.9552  2 As 2.57-2.70
Se  0.7843  0.4552  0.3673  2 As 2.57-2.70
Se  0.2157  0.5448  0.6327  2 As 2.57-2.70
Se  0.1709  0.0879  0.9552  2 As 2.57-2.70
Se  0.9121  0.0831  0.8673  2 As 2.57-2.70
Se  0.0879  0.1709  0.4552  2 As 2.57-2.70
Se  0.4552  0.6709  0.0879  2 As 2.57-2.70
Se  0.8673  0.2843  0.4552  2 As 2.57-2.70
Se  0.4169  0.1327  0.5879  2 As 2.57-2.70
Se  0.7157  0.1327  0.0448  2 As 2.57-2.70
Se  0.6709  0.2157  0.5831  2 As 2.57-2.70
Se  0.7157  0.5831  0.1709  2 As 2.57-2.70
Se  0.5831  0.8673  0.4121  2 As 2.57-2.70
Se  0.6327  0.5879  0.9169  2 As 2.57-2.70
Se  0.5448  0.3291  0.9121  2 As 2.57-2.70
Se  0.8291  0.9121  0.0448  2 As 2.57-2.70
Se  0.3291  0.7843  0.4169  2 As 2.57-2.70
Se  0.9169  0.8291  0.7843  2 As 2.57-2.70
Se  0.9552  0.5879  0.1709  2 As 2.57-2.70
Se  0.1709  0.0831  0.7157  2 As 2.57-2.70
Se  0.7843  0.3291  0.9169  2 As 2.57-2.70
Se  0.1327  0.4169  0.0879  2 As 2.57-2.70
Dy  0.1250  0.2500  0.8750  8 Se 3.03-3.08
Dy  0.8750  0.7500  0.1250  8 Se 3.03-3.08
Dy  0.7500  0.8750  0.6250  8 Se 3.03-3.08
Dy  0.1250  0.8750  0.7500  8 Se 3.03-3.08
Dy  0.2500  0.6250  0.8750  8 Se 3.03-3.08
Dy  0.6250  0.2500  0.3750  8 Se 3.03-3.08
Dy  0.8750  0.1250  0.2500  8 Se 3.03-3.08
Dy  0.6250  0.3750  0.7500  8 Se 3.03-3.08
Dy  0.3750  0.7500  0.6250  8 Se 3.03-3.08
Dy  0.7500  0.3750  0.1250  8 Se 3.03-3.08
Dy  0.3750  0.6250  0.2500  8 Se 3.03-3.08
Dy  0.2500  0.1250  0.3750  8 Se 3.03-3.08

Properties
M_tot   0.000 Bohr magnetons per cell

4.
First-principles (PBE) data for a relaxed structure of DyAsSe, as listed in Alexandria.

Lattice parameters (Å, degrees): 3.9095 3.9095 9.2487 102.20 102.20 90.00
Closest atoms and distances in Å follow each position.
Positions (direct):
As  0.5000  0.0000  0.0000  4 As 2.76
As  0.0000  0.5000  0.0000  4 As 2.76
Se  0.1882  0.1882  0.3764  5 Dy 2.89-3.04
Se  0.8118  0.8118  0.6236  5 Dy 2.89-3.04
Dy  0.3604  0.3604  0.7209  5 Se 2.89-3.04, 4 As 3.14
Dy  0.6396  0.6396  0.2791  5 Se 2.89-3.04, 4 As 3.14

Properties
M_tot   0.000 Bohr magnetons per cell

5.
First-principles (PBE) data for a relaxed structure of Dy4SiAsSe2, as listed in Alexandria.

Lattice parameters (Å, degrees): 4.1067 7.1350 7.1188 70.65 90.00 90.00
Closest atoms and distances in Å follow each position.
Positions (direct):
As  0.5000  0.5000  0.0000  6 Dy 2.87-2.88
Dy  0.0000  0.7363  0.7503  1 Si 2.83, 2 As 2.87, 3 Se 2.95-2.99
Dy  0.5000  0.7361  0.2583  2 Si 2.85, 1 As 2.88, 3 Se 2.94-2.97
Dy  0.0000  0.2637  0.2497  1 Si 2.83, 2 As 2.87, 3 Se 2.95-2.99
Dy  0.5000  0.2639  0.7417  2 Si 2.84-2.85, 1 As 2.88, 3 Se 2.94-2.97
Se  0.5000  0.0000  0.5000  6 Dy 2.94-2.95
Se  0.0000  0.0000  0.0000  6 Dy 2.97-2.99
Si  0.0000  0.5000  0.5000  6 Dy 2.83-2.85

Properties
M_tot   0.000 Bohr magnetons per cell

6.
First-principles (PBE) data for a relaxed structure of Dy8Si3AsSe4, as listed in Alexandria.

Lattice parameters (Å, degrees): 8.2158 8.2566 8.2158 119.84 120.00 90.00
Closest atoms and distances in Å follow each position.
Positions (direct):
Se  0.5000  0.0000  0.5000  6 Dy 2.97-2.98
Se  0.5000  0.0000  0.0000  6 Dy 2.95
Se  0.0000  0.0000  0.0000  6 Dy 2.97-2.98
Se  0.0000  0.0000  0.5000  6 Dy 2.97-2.98
Si  0.0000  0.5000  0.5000  6 Dy 2.85-2.86
Si  0.5000  0.5000  0.5000  6 Dy 2.85-2.86
Si  0.5000  0.5000  0.0000  6 Dy 2.85-2.86
Dy  0.7455  0.7366  0.4911  3 Si 2.86, 3 Se 2.97
Dy  0.7417  0.7353  0.9885  2 Si 2.85, 1 As 2.88, 3 Se 2.95-2.98
Dy  0.7531  0.2646  0.5062  2 Si 2.85, 1 As 2.88, 3 Se 2.95-2.98
Dy  0.7532  0.2647  0.0115  2 Si 2.85, 1 As 2.88, 3 Se 2.95-2.98
Dy  0.2583  0.2647  0.0115  2 Si 2.85, 1 As 2.88, 3 Se 2.95-2.98
Dy  0.2468  0.7353  0.9885  2 Si 2.85, 1 As 2.88, 3 Se 2.95-2.98
Dy  0.2545  0.2634  0.5089  3 Si 2.86, 3 Se 2.97
Dy  0.2469  0.7354  0.4938  2 Si 2.85, 1 As 2.88, 3 Se 2.95-2.98
As  0.0000  0.5000  0.0000  6 Dy 2.88

Properties
M_tot   0.000 Bohr magnetons per cell

7.
First-principles (PBE) data for a relaxed structure of Dy6SnAs3Se2, as listed in Alexandria.

Lattice parameters (Å, degrees): 4.1198 8.3860 9.3008 103.07 102.80 90.00
Closest atoms and distances in Å follow each position.
Positions (direct):
Dy  0.3293  0.9215  0.6586  3 As 2.86-2.91, 2 Se 3.00, 1 Sn 3.01
Dy  0.9991  0.2618  0.9981  3 As 2.87-2.94, 1 Se 3.00, 2 Sn 3.01
Dy  0.6644  0.5907  0.3288  3 As 2.88-2.90, 3 Se 2.94-2.97
Dy  0.6707  0.0785  0.3414  3 As 2.86-2.91, 2 Se 3.00, 1 Sn 3.01
Dy  0.3356  0.4093  0.6712  3 As 2.88-2.90, 3 Se 2.94-2.97
Dy  0.0009  0.7382  0.0019  3 As 2.87-2.94, 1 Se 3.00, 2 Sn 3.01
As  0.5000  0.5000  0.0000  6 Dy 2.87-2.90
As  0.1672  0.8317  0.3344  6 Dy 2.86-2.94
As  0.8328  0.1683  0.6656  6 Dy 2.86-2.94
Se  0.8310  0.6620  0.6620  6 Dy 2.94-3.00
Se  0.1690  0.3380  0.3380  6 Dy 2.94-3.00
Sn  0.5000  0.0000  0.0000  6 Dy 3.01

Properties
M_tot   0.000 Bohr magnetons per cell

8.
First-principles (PBE) data for a relaxed structure of Dy4SnAsSe2, as listed in Alexandria.

Lattice parameters (Å, degrees): 4.1806 7.2276 7.2633 70.53 90.00 90.00
Closest atoms and distances in Å follow each position.
Positions (direct):
Sn  0.5000  0.5000  0.0000  6 Dy 2.97-2.98
Dy  0.5000  0.2574  0.7412  2 As 2.91, 3 Se 2.95-3.01, 1 Sn 2.97
Dy  0.0000  0.7501  0.7430  1 As 2.92, 3 Se 2.94-3.00, 2 Sn 2.98
Dy  0.0000  0.2499  0.2570  1 As 2.92, 3 Se 2.94-3.00, 2 Sn 2.98
Dy  0.5000  0.7426  0.2588  2 As 2.91, 3 Se 2.95-3.01, 1 Sn 2.97
Se  0.0000  0.0000  0.0000  6 Dy 3.00-3.01
Se  0.5000  0.0000  0.5000  6 Dy 2.94-2.95
As  0.0000  0.5000  0.5000  6 Dy 2.91-2.92

Properties
M_tot   0.000 Bohr magnetons per cell

9.
First-principles (PBE) data for a relaxed structure of Dy6SnAs2Se3, as listed in Alexandria.

Lattice parameters (Å, degrees): 4.1508 8.3220 9.2883 102.77 102.91 90.00
Closest atoms and distances in Å follow each position.
Positions (direct):
Se  0.5000  0.5000  0.0000  6 Dy 2.90-3.01
Se  0.1662  0.8317  0.3324  6 Dy 2.91-3.00
Se  0.8338  0.1683  0.6676  6 Dy 2.91-3.00
Dy  0.9970  0.7426  0.9939  1 As 2.90, 3 Se 2.90-2.98, 2 Sn 2.97
Dy  0.0030  0.2574  0.0061  1 As 2.90, 3 Se 2.90-2.98, 2 Sn 2.97
Dy  0.3296  0.4232  0.6591  3 As 2.86-2.88, 3 Se 2.98-3.01
Dy  0.3309  0.9063  0.6619  2 As 2.89, 3 Se 2.91-3.00, 1 Sn 2.98
Dy  0.6691  0.0937  0.3381  2 As 2.89, 3 Se 2.91-3.00, 1 Sn 2.98
Dy  0.6704  0.5768  0.3409  3 As 2.86-2.88, 3 Se 2.98-3.01
As  0.1676  0.3352  0.3351  6 Dy 2.86-2.90
As  0.8324  0.6648  0.6649  6 Dy 2.86-2.90
Sn  0.5000  0.0000  0.0000  6 Dy 2.97-2.98

Properties
M_tot   0.000 Bohr magnetons per cell

10.
First-principles (PBE) data for a relaxed structure of Dy6Te3As2Se, as listed in Alexandria.

Lattice parameters (Å, degrees): 4.1927 8.5485 9.5344 104.61 102.70 90.00
Closest atoms and distances in Å follow each position.
Positions (direct):
Dy  0.9906  0.7646  0.9813  1 As 2.83, 2 Se 2.88, 3 Te 3.12-3.14
Dy  0.6747  0.5648  0.3493  3 As 2.85-2.86, 3 Te 3.15
Dy  0.3253  0.4352  0.6507  3 As 2.85-2.86, 3 Te 3.15
Dy  0.6623  0.1054  0.3247  2 As 2.85, 1 Se 2.92, 3 Te 3.12-3.14
Dy  0.3377  0.8946  0.6753  2 As 2.85, 1 Se 2.92, 3 Te 3.12-3.14
Dy  0.0094  0.2354  0.0187  1 As 2.83, 2 Se 2.88, 3 Te 3.12-3.14
Te  0.8350  0.1668  0.6700  6 Dy 3.12-3.15
Te  0.5000  0.5000  0.0000  6 Dy 3.12-3.15
Te  0.1650  0.8332  0.3300  6 Dy 3.12-3.15
As  0.8333  0.6670  0.6666  6 Dy 2.83-2.86
As  0.1667  0.3330  0.3334  6 Dy 2.83-2.86
Se  0.5000  0.0000  0.0000  6 Dy 2.88-2.92

Properties
M_tot   0.000 Bohr magnetons per cell

11.
First-principles (PBE) data for a relaxed structure of Dy8Te4As3Se, as listed in Alexandria.

Lattice parameters (Å, degrees): 8.3790 8.5677 8.3789 119.28 120.00 90.00
Closest atoms and distances in Å follow each position.
Positions (direct):
Dy  0.7584  0.2829  0.0246  2 As 2.85, 1 Se 2.90, 3 Te 3.11-3.15
Dy  0.2662  0.2829  0.0246  2 As 2.85, 1 Se 2.90, 3 Te 3.11-3.15
Dy  0.7338  0.7171  0.9754  2 As 2.85, 1 Se 2.90, 3 Te 3.11-3.15
Dy  0.2611  0.2832  0.5221  3 As 2.86, 3 Te 3.14
Dy  0.7584  0.2829  0.5167  2 As 2.85, 1 Se 2.90, 3 Te 3.11-3.15
Dy  0.2416  0.7171  0.9754  2 As 2.85, 1 Se 2.90, 3 Te 3.11-3.15
Dy  0.7389  0.7168  0.4779  3 As 2.86, 3 Te 3.14
Dy  0.2416  0.7171  0.4833  2 As 2.85, 1 Se 2.90, 3 Te 3.11-3.15
As  0.0000  0.5000  0.5000  6 Dy 2.85-2.86
As  0.5000  0.5000  0.0000  6 Dy 2.85-2.86
As  0.5000  0.5000  0.5000  6 Dy 2.85-2.86
Te  0.5000  0.0000  0.0000  6 Dy 3.11
Te  0.0000  0.0000  0.0000  6 Dy 3.14-3.15
Te  0.5000  0.0000  0.5000  6 Dy 3.14-3.15
Te  0.0000  0.0000  0.5000  6 Dy 3.14-3.15
Se  0.0000  0.5000  0.0000  6 Dy 2.90

Properties
M_tot   0.000 Bohr magnetons per cell

12.
First-principles (PBE) data for a relaxed structure of Dy6Te2AsSe3, as listed in Alexandria.

Lattice parameters (Å, degrees): 7.2803 7.2803 7.1933 99.65 99.65 120.11
Closest atoms and distances in Å follow each position.
Positions (direct):
Dy  0.7867  0.7867  0.2741  1 As 2.89, 3 Se 2.90-3.04, 2 Te 3.12
Dy  0.6076  0.9136  0.7368  3 Se 2.83-2.97, 1 As 2.85, 2 Te 3.10-3.12
Dy  0.0864  0.3924  0.2632  3 Se 2.83-2.97, 1 As 2.85, 2 Te 3.10-3.12
Dy  0.2133  0.2133  0.7259  1 As 2.89, 3 Se 2.90-3.04, 2 Te 3.12
Dy  0.9136  0.6076  0.7368  3 Se 2.83-2.97, 1 As 2.85, 2 Te 3.10-3.12
Dy  0.3924  0.0864  0.2632  3 Se 2.83-2.97, 1 As 2.85, 2 Te 3.10-3.12
As  0.0000  0.0000  0.0000  6 Dy 2.85-2.89
Te  0.3363  0.6637  0.0000  6 Dy 3.10-3.12
Te  0.6637  0.3363  0.0000  6 Dy 3.10-3.12
Se  0.5000  0.5000  0.5000  6 Dy 2.84-3.04
Se  0.1787  0.8213  0.5000  6 Dy 2.83-2.97
Se  0.8213  0.1787  0.5000  6 Dy 2.83-2.97

Properties
M_tot   0.000 Bohr magnetons per cell

no.,total energy (eV/atom)
1,-5.478
2,-5.971
3,-4.577
4,-5.653
5,-5.963
6,-5.902
7,-5.879
8,-5.711
9,-5.818
10,-5.665
11,-5.685
12,-5.665